[1]
Material: SbRhW2
Method: DFT, GGA-PBE
State: relaxed

Lattice parameters (Å, degrees): 5.9151 5.9151 7.1535 65.58 65.58 90.00
With the nearest neighbours (Å) after each atom.
Sites, in units of the cell vectors:
Sb 0.0000 0.0000 0.0000  4 W 2.69
Sb 0.7500 0.2500 0.5000  4 W 2.69
Rh 0.5000 0.5000 0.0000  4 W 2.41
Rh 0.2500 0.7500 0.5000  4 W 2.41
W 0.5840 0.1250 0.2500  2 Rh 2.41, 2 Sb 2.69
W 0.1660 0.6250 0.2500  2 Rh 2.41, 2 Sb 2.69
W 0.3750 0.4160 0.7500  2 Rh 2.41, 2 Sb 2.69
W 0.8750 0.8340 0.7500  2 Rh 2.41, 2 Sb 2.69

Properties
Formation energy (no corrections): 1415 meV/atom
E_tot: -7.93 eV per atom

---

[2]
Material: TaMoW2
Method: DFT, GGA-PBE
State: relaxed

Lattice parameters (Å, degrees): 8.7513 8.7513 8.7513 19.89 19.89 19.89
With the nearest neighbours (Å) after each atom.
Sites, in units of the cell vectors:
Mo 0.5020 0.5020 0.5020  3 W 2.72, 3 Ta 2.79, 6 Mo 3.02
Ta 0.7505 0.7505 0.7505  3 Mo 2.79, 3 W 2.81, 6 Ta 3.02
W 0.9980 0.9980 0.9980  9 W 2.73-3.02, 3 Ta 2.81
W 0.2496 0.2496 0.2496  3 Mo 2.72, 9 W 2.73-3.02

Properties
Distance to the lowest polymorph of the same formula: 0.452 eV/atom
E_tot: -11.83 eV per atom

---

[3]
Material: SrB
Method: DFT, GGA-PBE
State: relaxed

Lattice parameters (Å, degrees): 3.5040 3.5040 3.5040 90.00 90.00 90.00
With the nearest neighbours (Å) after each atom.
Sites, in units of the cell vectors:
Sr 0.5000 0.5000 0.5000  8 B 3.03
B 0.0000 0.0000 0.0000  8 Sr 3.03

Properties
Distance to the lowest polymorph of the same formula: 0.947 eV/atom
E_tot: -3.25 eV per atom